Compound: ZrSc2Al
Source: Alexandria
Functional: PBE-GGA
Structure: relaxed

crystal system	cubic
formation energy	-11.8	kJ/mol of atoms

a = 6.9704 Å, b = 6.9704 Å, c = 6.9704 Å
α = 90.00°, β = 90.00°, γ = 90.00°
Closest atoms and distances in Å follow each position.
Space group F-43m (No. 216)
Unique sites:
1 Zr 0.0000 0.0000 0.0000  4 Sc 3.02, 4 Al 3.02
2 Sc 0.0000 0.0000 0.5000  4 Sc 3.02, 4 Al 3.02
3 Sc 0.2500 0.2500 0.2500  4 Zr 3.02, 4 Sc 3.02
4 Al 0.2500 0.2500 0.7500  4 Zr 3.02, 4 Sc 3.02

=====

Compound: SnPdPb2
Source: Alexandria
Functional: PBE-GGA
Structure: relaxed

crystal system	tetragonal
formation energy	-9.4	kJ/mol of atoms

a = 3.4550 Å, b = 3.4550 Å, c = 8.4665 Å
α = 90.00°, β = 90.00°, γ = 90.00°
Closest atoms and distances in Å follow each position.
Space group P4/mmm (No. 123)
Unique sites:
1 Sn 0.0000 0.0000 0.0000  4 Sn 3.46, 8 Pb 3.49
2 Pd 0.0000 0.0000 0.5000  8 Pb 3.00
3 Pb 0.5000 0.5000 0.2939  4 Pd 3.00

=====

Compound: YAlSbI2
Source: Alexandria
Functional: PBE-GGA
Structure: relaxed

crystal system	tetragonal
polymorph energy (0 for the lowest one)	0.123	eV per atom
uncorrected formation energy	-0.05	eV/atom

a = 5.3811 Å, b = 5.3811 Å, c = 5.5899 Å
α = 90.00°, β = 90.00°, γ = 90.00°
Closest atoms and distances in Å follow each position.
Space group P4/mmm (No. 123)
Unique sites:
1 Y 0.0000 0.0000 0.0000  4 Sb 3.80, 8 I 3.88
2 Al 0.5000 0.5000 0.5000  4 I 2.69, 2 Sb 2.79
3 Sb 0.5000 0.5000 0.0000  2 Al 2.79
4 I 0.0000 0.5000 0.5000  2 Al 2.69

=====

Compound: Ho4Tm2Th
Source: Alexandria
Functional: PBE-GGA
Structure: relaxed

crystal system	monoclinic
formation energy	2.1	kJ/mol of atoms
polymorph energy (0 for the lowest one)	0.000	eV per atom

a = 6.1740 Å, b = 3.5659 Å, c = 19.9270 Å
α = 90.00°, β = 95.96°, γ = 90.00°
Closest atoms and distances in Å follow each position.
Space group Cm (No. 8)
Unique sites:
1 Ho 0.0000 0.0000 0.0000  3 Tm 3.49, 3 Th 3.55, 6 Ho 3.56-3.57
2 Ho 0.0203 0.5000 0.5653  3 Tm 3.47, 9 Ho 3.50-3.57
3 Ho 0.4023 0.5000 0.7082  9 Ho 3.50-3.57, 3 Th 3.54-3.55
4 Ho 0.4267 0.0000 0.2841  6 Tm 3.46-3.49, 6 Ho 3.56-3.57
5 Tm 0.2140 0.5000 0.1420  6 Ho 3.48-3.49, 6 Tm 3.56-3.57
6 Tm 0.3069 0.5000 0.4244  6 Ho 3.46-3.47, 6 Tm 3.56-3.57
7 Th 0.1182 0.5000 0.8539  6 Ho 3.54-3.55, 6 Th 3.56-3.57

=====

Compound: Sr5La
Source: Alexandria
Functional: PBE-GGA
Structure: relaxed

crystal system	monoclinic
formation energy	8.4	kJ/mol of atoms
polymorph energy (0 for the lowest one)	0.000	eV per atom

a = 15.4015 Å, b = 4.1142 Å, c = 9.9297 Å
α = 90.00°, β = 105.66°, γ = 90.00°
Closest atoms and distances in Å follow each position.
Space group Cm (No. 8)
Unique sites:
1 Sr 0.0000 0.0000 0.0000  10 Sr 4.03-4.29, 2 La 4.10
2 Sr 0.0522 0.0000 0.6233  9 Sr 4.03-4.17, 3 La 4.08-4.23
3 Sr 0.1700 0.5000 0.3526  2 La 4.05, 10 Sr 4.11-4.42
4 Sr 0.2291 0.5000 0.9406  2 La 4.03, 10 Sr 4.05-4.42
5 Sr 0.3888 0.0000 0.2902  1 La 4.11, 11 Sr 4.11-4.26
6 La 0.3342 0.0000 0.6734  10 Sr 4.03-4.23, 2 La 4.11

=====

Compound: TmPuZnNi
Source: Alexandria
Functional: PBE-GGA
Structure: relaxed

crystal system	cubic
formation energy	-15.3	kJ/mol of atoms

a = 6.9019 Å, b = 6.9019 Å, c = 6.9019 Å
α = 90.00°, β = 90.00°, γ = 90.00°
Closest atoms and distances in Å follow each position.
Space group F-43m (No. 216)
Unique sites:
1 Tm 0.0000 0.0000 0.0000  4 Ni 2.99, 4 Zn 2.99
2 Pu 0.0000 0.0000 0.5000  4 Ni 2.99, 4 Zn 2.99
3 Zn 0.2500 0.2500 0.2500  4 Tm 2.99, 4 Pu 2.99
4 Ni 0.2500 0.2500 0.7500  4 Tm 2.99, 4 Pu 2.99

=====

Compound: K3Sn4Te8
Source: Alexandria
Functional: PBE-GGA
Structure: relaxed

crystal system	monoclinic
uncorrected formation energy	-0.35	eV/atom

a = 13.1157 Å, b = 13.2124 Å, c = 8.3117 Å
α = 90.00°, β = 128.74°, γ = 90.00°
Closest atoms and distances in Å follow each position.
Space group C2/m (No. 12)
Unique sites:
1 K 0.0000 0.0000 0.0000  6 Te 3.55-3.66
2 K 0.2500 0.2500 0.0000  6 Te 3.29-3.34
3 Sn 0.0000 0.5000 0.0000  6 Te 2.93-3.06
4 Sn 0.0000 0.5000 0.5000  6 Te 2.92-3.05
5 Sn 0.2500 0.2500 0.5000  6 Te 3.29-3.32
6 Te 0.0000 0.2684 0.0000  3 Sn 3.06-3.32, 2 K 3.29
7 Te 0.0000 0.2709 0.5000  3 Sn 3.03-3.29, 2 K 3.32
8 Te 0.2012 0.5000 0.9473  2 Sn 2.92-2.93
9 Te 0.2182 0.5000 0.4657  4 Sn 3.05-3.32

=====

Compound: Ti2ZnPb
Source: Alexandria
Functional: PBE-GGA
Structure: relaxed

crystal system	tetragonal
formation energy	24.5	kJ/mol of atoms

a = 7.4242 Å, b = 7.4242 Å, c = 5.7075 Å
α = 90.00°, β = 90.00°, γ = 90.00°
Closest atoms and distances in Å follow each position.
Space group I-42d (No. 122)
Unique sites:
1 Ti 0.2329 0.2500 0.1250  2 Zn 2.63, 2 Pb 2.81, 2 Ti 2.87
2 Zn 0.0000 0.0000 0.0000  4 Ti 2.63, 2 Pb 2.85
3 Pb 0.0000 0.0000 0.5000  4 Ti 2.81, 2 Zn 2.85

=====

no.,E (eV/atom)
1,-6.361
2,-4.250
3,-3.535
4,-4.932
5,-2.136
6,-6.623
7,-3.310
8,-4.939